No. 1
A geometry-optimized Fe2AgPd structure. Source: the Open Quantum Materials Database, functional PBE.

a = 4.3487 Å, b = 4.3487 Å, c = 4.3487 Å
α = 60.00°, β = 60.00°, γ = 60.00°
Fractional coordinates of all 4 atoms:
Fe1 0.0000 0.0000 0.0000
Fe2 0.2500 0.2500 0.2500
Ag1 0.7500 0.7500 0.7500
Pd1 0.5000 0.5000 0.5000

Energy of formation from the pure elements: 0.91 eV per formula unit
Electronic total energy: -0.218 hartree per atom
Size of the total moment: 1.470 μB per atom

---

No. 2
A geometry-optimized FeAg2Pd structure. Source: the Open Quantum Materials Database, functional PBE.

a = 4.4850 Å, b = 4.4850 Å, c = 4.4850 Å
α = 60.00°, β = 60.00°, γ = 60.00°
Fractional coordinates of all 4 atoms:
Fe1 0.0000 0.0000 0.0000
Ag1 0.2500 0.2500 0.2500
Ag2 0.5000 0.5000 0.5000
Pd1 0.7500 0.7500 0.7500

Energy of formation from the pure elements: 0.73 eV per formula unit
Electronic total energy: -0.169 hartree per atom
Size of the total moment: 0.816 μB per atom

---

No. 3
A geometry-optimized FeAgSbPd structure. Source: the Open Quantum Materials Database, functional PBE.

a = 4.5766 Å, b = 4.5766 Å, c = 4.5766 Å
α = 60.00°, β = 60.00°, γ = 60.00°
Fractional coordinates of all 4 atoms:
Fe1 0.0000 0.0000 0.0000
Ag1 0.2500 0.2500 0.2500
Sb1 0.7500 0.7500 0.7500
Pd1 0.5000 0.5000 0.5000

Electronic total energy: -0.187 hartree per atom
Size of the total moment: 0.665 μB per atom

---

No. 4
A geometry-optimized FeSiAgPd structure. Source: the Open Quantum Materials Database, functional PBE.

a = 4.3332 Å, b = 4.3332 Å, c = 4.3332 Å
α = 60.00°, β = 60.00°, γ = 60.00°
Fractional coordinates of all 4 atoms:
Fe1 0.0000 0.0000 0.0000
Si1 0.7500 0.7500 0.7500
Ag1 0.2500 0.2500 0.2500
Pd1 0.5000 0.5000 0.5000

Electronic total energy: -0.199 hartree per atom
Size of the total moment: 0.607 μB per atom

---

No. 5
A geometry-optimized FeAgSnPd structure. Source: the Open Quantum Materials Database, functional PBE.

a = 4.5504 Å, b = 4.5504 Å, c = 4.5504 Å
α = 60.00°, β = 60.00°, γ = 60.00°
Fractional coordinates of all 4 atoms:
Fe1 0.0000 0.0000 0.0000
Ag1 0.2500 0.2500 0.2500
Sn1 0.7500 0.7500 0.7500
Pd1 0.5000 0.5000 0.5000

Electronic total energy: -0.187 hartree per atom
Size of the total moment: 0.650 μB per atom

---

No. 6
A geometry-optimized TlFeAgPd structure. Source: the Open Quantum Materials Database, functional PBE.

a = 4.6002 Å, b = 4.6002 Å, c = 4.6002 Å
α = 60.00°, β = 60.00°, γ = 60.00°
Fractional coordinates of all 4 atoms:
Tl1 0.0000 0.0000 0.0000
Fe1 0.2500 0.2500 0.2500
Ag1 0.5000 0.5000 0.5000
Pd1 0.7500 0.7500 0.7500

Electronic total energy: -0.163 hartree per atom
Size of the total moment: 0.708 μB per atom

---

No. 7
A geometry-optimized PmFeAg structure. Source: the Open Quantum Materials Database, functional PBE.

a = 4.8073 Å, b = 4.8073 Å, c = 4.8073 Å
α = 60.00°, β = 60.00°, γ = 60.00°
Fractional coordinates of all 3 atoms:
Pm1 0.0000 0.0000 0.0000
Fe1 0.2500 0.2500 0.2500
Ag1 0.7500 0.7500 0.7500

Energy of formation from the pure elements: 2.52 eV per formula unit
Electronic total energy: -0.164 hartree per atom
Size of the total moment: 0.785 μB per atom

---

No. 8
A geometry-optimized PrFeAg structure. Source: the Open Quantum Materials Database, functional PBE.

a = 4.8816 Å, b = 4.8816 Å, c = 4.8816 Å
α = 60.00°, β = 60.00°, γ = 60.00°
Fractional coordinates of all 3 atoms:
Pr1 0.0000 0.0000 0.0000
Fe1 0.7500 0.7500 0.7500
Ag1 0.2500 0.2500 0.2500

Energy of formation from the pure elements: 2.58 eV per formula unit
Electronic total energy: -0.163 hartree per atom
Size of the total moment: 0.786 μB per atom

---

No. 9
A geometry-optimized FeAg2Pt structure. Source: the Open Quantum Materials Database, functional PBE.

a = 4.4873 Å, b = 4.4873 Å, c = 4.4873 Å
α = 60.00°, β = 60.00°, γ = 60.00°
Fractional coordinates of all 4 atoms:
Fe1 0.0000 0.0000 0.0000
Ag1 0.2500 0.2500 0.2500
Ag2 0.5000 0.5000 0.5000
Pt1 0.7500 0.7500 0.7500

Energy of formation from the pure elements: 0.64 eV per formula unit
Electronic total energy: -0.178 hartree per atom
Size of the total moment: 0.839 μB per atom

---

No. 10
A geometry-optimized FeSiAgPt structure. Source: the Open Quantum Materials Database, functional PBE.

a = 4.3431 Å, b = 4.3431 Å, c = 4.3431 Å
α = 60.00°, β = 60.00°, γ = 60.00°
Fractional coordinates of all 4 atoms:
Fe1 0.0000 0.0000 0.0000
Si1 0.7500 0.7500 0.7500
Ag1 0.2500 0.2500 0.2500
Pt1 0.5000 0.5000 0.5000

Electronic total energy: -0.206 hartree per atom
Size of the total moment: 0.608 μB per atom

---

No. 11
A geometry-optimized TlFeAgPt structure. Source: the Open Quantum Materials Database, functional PBE.

a = 4.6142 Å, b = 4.6142 Å, c = 4.6142 Å
α = 60.00°, β = 60.00°, γ = 60.00°
Fractional coordinates of all 4 atoms:
Tl1 0.0000 0.0000 0.0000
Fe1 0.2500 0.2500 0.2500
Ag1 0.7500 0.7500 0.7500
Pt1 0.5000 0.5000 0.5000

Electronic total energy: -0.170 hartree per atom
Size of the total moment: 0.784 μB per atom

---

No. 12
A geometry-optimized ZnFeAgPt structure. Source: the Open Quantum Materials Database, functional PBE.

a = 4.4018 Å, b = 4.4018 Å, c = 4.4018 Å
α = 60.00°, β = 60.00°, γ = 60.00°
Fractional coordinates of all 4 atoms:
Zn1 0.0000 0.0000 0.0000
Fe1 0.2500 0.2500 0.2500
Ag1 0.7500 0.7500 0.7500
Pt1 0.5000 0.5000 0.5000

Energy of formation from the pure elements: 0.04 eV per formula unit
Electronic total energy: -0.169 hartree per atom
Size of the total moment: 0.739 μB per atom

---

No. 13
A geometry-optimized PuFeAg structure. Source: the Open Quantum Materials Database, functional PBE.

a = 4.3011 Å, b = 4.3011 Å, c = 4.3011 Å
α = 60.00°, β = 60.00°, γ = 60.00°
Fractional coordinates of all 3 atoms:
Pu1 0.0000 0.0000 0.0000
Fe1 0.2500 0.2500 0.2500
Ag1 0.5000 0.5000 0.5000

Energy of formation from the pure elements: 1.23 eV per formula unit
Electronic total energy: -0.294 hartree per atom
Size of the total moment: 1.165 μB per atom

---

No. 14
A geometry-optimized PuFeAg structure. Source: the Open Quantum Materials Database, functional PBE.

a = 4.4149 Å, b = 4.4149 Å, c = 4.4149 Å
α = 60.00°, β = 60.00°, γ = 60.00°
Fractional coordinates of all 3 atoms:
Pu1 0.0000 0.0000 0.0000
Fe1 0.7500 0.7500 0.7500
Ag1 0.2500 0.2500 0.2500

Energy of formation from the pure elements: 4.77 eV per formula unit
Electronic total energy: -0.251 hartree per atom
Size of the total moment: 0.098 μB per atom

---

No. 15
A geometry-optimized RbFeAgSeS2 structure. Source: the Open Quantum Materials Database, functional PBE.

a = 8.0486 Å, b = 8.0486 Å, c = 10.2895 Å
α = 90.00°, β = 90.00°, γ = 154.49°
Fractional coordinates of all 12 atoms:
Rb1 0.2434 0.7566 0.7500
Rb2 0.7566 0.2434 0.2500
Fe1 0.0000 0.0000 0.0000
Fe2 0.0000 0.0000 0.5000
Ag1 0.4473 0.5527 0.2500
Ag2 0.5527 0.4473 0.7500
Se1 0.0715 0.9285 0.2500
Se2 0.9285 0.0715 0.7500
S1 0.4029 0.5971 0.0227
S2 0.4029 0.5971 0.4773
S3 0.5971 0.4029 0.5227
S4 0.5971 0.4029 0.9773

Electronic total energy: -0.157 hartree per atom
Size of the total moment: 0.393 μB per atom